This record from Alexandria describes an optimized crystal structure of ScAg2Mo. The functional is PBE.

Output
calculated volume	18.068	Å³ per atom
magnetic moment	0.00	μB per formula unit
ΔH_f (0 K)	0.29	eV/atom
DFT total energy	-43.40	eV/cell

Unit cell a=3.1454 b=4.5846 c=10.0238 alpha=90.00 beta=90.00 gamma=90.00
Closest atoms and distances in Å follow each position.
Space group Immm (No. 71)
One atom of each set of equivalent atoms:
Sc (0.0000, 0.0000, 0.0000) x2  4 Mo 2.78, 4 Ag 3.03
Ag (0.0000, 0.5000, 0.2417) x4  4 Ag 2.78, 2 Mo 2.89, 2 Sc 3.03
Mo (0.0000, 0.0000, 0.5000) x2  4 Sc 2.78, 4 Ag 2.89

***

This record from Alexandria describes an optimized crystal structure of Tb6NdSm6. The functional is PBE.

Output
calculated volume	34.243	Å³ per atom
magnetic moment	0.00	μB per formula unit
ΔH_f (0 K)	0.22	eV/atom
DFT total energy	-58.03	eV/cell

Unit cell a=6.6009 b=11.2763 c=6.6248 alpha=90.00 beta=115.48 gamma=90.00
Closest atoms and distances in Å follow each position.
Space group P2/m (No. 10)
One atom of each set of equivalent atoms:
Tb (0.0000, 0.2001, 0.0000) x2  4 Tb 3.38-3.44, 6 Sm 3.42-3.74
Tb (0.0000, 0.2834, 0.5000) x2  6 Sm 3.38-3.64, 4 Tb 3.44-3.54
Tb (0.5000, 0.2662, 0.0000) x2  6 Sm 3.28-3.51, 4 Tb 3.38-3.54
Nd (0.5000, 0.5000, 0.5000) x1  8 Sm 3.67-4.07, 4 Tb 4.11
Sm (0.1734, 0.5000, 0.8901) x2  1 Sm 3.20, 4 Tb 3.28-3.38
Sm (0.2241, 0.0000, 0.7643) x2  6 Tb 3.42-3.64, 4 Sm 3.48-3.64
Sm (0.5000, 0.1627, 0.5000) x2  6 Tb 3.51-3.57, 3 Sm 3.53-3.67, 1 Nd 3.80

***

This record from Alexandria describes an optimized crystal structure of Lu2ThN. The functional is PBE.

Output
calculated volume	20.924	Å³ per atom
magnetic moment	0.00	μB per formula unit
DFT total energy	-25.55	eV/cell

Unit cell a=3.1621 b=3.1621 c=8.3707 alpha=90.00 beta=90.00 gamma=90.00
Closest atoms and distances in Å follow each position.
Space group P4/mmm (No. 123)
One atom of each set of equivalent atoms:
Lu (0.0000, 0.0000, 0.1665) x2  4 N 2.63, 1 Lu 2.79
Th (0.5000, 0.5000, 0.5000) x1  4 Th 3.16
N (0.5000, 0.5000, 0.0000) x1  8 Lu 2.63

***

This record from Alexandria describes an optimized crystal structure of CsZn2Bi2. The functional is PBE.

Output
calculated volume	30.841	Å³ per atom
magnetic moment	0.00	μB per formula unit
ΔH_f (0 K)	-0.12	eV/atom
DFT total energy	-23.57	eV/cell

Unit cell a=5.0133 b=5.0133 c=12.2714 alpha=90.00 beta=90.00 gamma=90.00
Closest atoms and distances in Å follow each position.
Space group I4/mmm (No. 139)
One atom of each set of equivalent atoms:
Cs (0.0000, 0.0000, 0.0000) x2  8 Zn 3.77, 8 Bi 3.96
Zn (0.0000, 0.0000, 0.3952) x4  1 Zn 2.57
Bi (0.0000, 0.5000, 0.2500) x4  4 Zn 3.08

***

This record from Alexandria describes an optimized crystal structure of CaMnGa2. The functional is PBE.

Output
calculated volume	18.878	Å³ per atom
magnetic moment	3.41	μB per formula unit
ΔH_f (0 K)	-0.20	eV/atom
DFT total energy	-18.02	eV/cell

Unit cell a=3.2726 b=3.2726 c=7.0507 alpha=90.00 beta=90.00 gamma=90.00
Closest atoms and distances in Å follow each position.
Space group P4/mmm (No. 123)
One atom of each set of equivalent atoms:
Ca (0.0000, 0.0000, 0.0000) x1  8 Ga 3.15, 4 Ca 3.27, 2 Mn 3.53
Mn (0.0000, 0.0000, 0.5000) x1  8 Ga 2.70
Ga (0.5000, 0.5000, 0.3027) x2  4 Mn 2.70, 1 Ga 2.78

***

This record from Alexandria describes an optimized crystal structure of SrHgPt. The functional is PBE.

Output
calculated volume	24.680	Å³ per atom
magnetic moment	0.00	μB per formula unit
ΔH_f (0 K)	-0.47	eV/atom
DFT total energy	-18.89	eV/cell

Unit cell a=3.7517 b=3.7517 c=10.5204 alpha=90.00 beta=90.00 gamma=90.00
Closest atoms and distances in Å follow each position.
Space group I4mm (No. 107)
One atom of each set of equivalent atoms:
Sr (0.0000, 0.0000, 0.0000) x2  5 Hg 3.16-3.38, 5 Pt 3.22-3.43
Hg (0.0000, 0.0000, 0.6996) x2  4 Pt 2.97, 1 Sr 3.16
Pt (0.0000, 0.0000, 0.3261) x2  4 Hg 2.97, 4 Sr 3.22

***

This record from Alexandria describes an optimized crystal structure of LaHoHf. The functional is PBE.

Output
calculated volume	29.307	Å³ per atom
magnetic moment	0.00	μB per formula unit
ΔH_f (0 K)	0.15	eV/atom
DFT total energy	-38.03	eV/cell

Unit cell a=3.3637 b=3.3637 c=15.5413 alpha=90.00 beta=90.00 gamma=90.00
Closest atoms and distances in Å follow each position.
Space group I4mm (No. 107)
One atom of each set of equivalent atoms:
La (0.0000, 0.0000, 0.0000) x2  4 La 3.36, 4 Hf 3.48
Ho (0.0000, 0.0000, 0.6924) x2  4 Hf 3.26, 4 Ho 3.36
Hf (0.0000, 0.0000, 0.3362) x2  4 Ho 3.26, 4 Hf 3.36, 4 La 3.48

***

This record from Alexandria describes an optimized crystal structure of HfSc5P4. The functional is PBE.

Output
calculated volume	20.731	Å³ per atom
magnetic moment	0.00	μB per formula unit
ΔH_f (0 K)	-1.15	eV/atom
DFT total energy	-149.46	eV/cell

Unit cell a=15.9947 b=3.6993 c=7.2605 alpha=90.00 beta=105.17 gamma=90.00
Closest atoms and distances in Å follow each position.
Space group C2/m (No. 12)
One atom of each set of equivalent atoms:
Hf (0.0000, 0.0000, 0.0000) x2  6 P 2.61-2.62
Sc (0.0000, 0.0000, 0.5000) x2  4 P 2.57
Sc (0.1648, 0.5000, 0.8421) x4  4 P 2.57-2.60
Sc (0.1696, 0.5000, 0.3430) x4  3 P 2.57-2.58
P (0.0030, 0.5000, 0.2552) x4  4 Sc 2.57-2.59, 2 Hf 2.61
P (0.1698, 0.0000, 0.0960) x4  5 Sc 2.57-2.60, 1 Hf 2.62

***

This record from Alexandria describes an optimized crystal structure of Ho3CdAg. The functional is PBE.

Output
calculated volume	27.903	Å³ per atom
magnetic moment	0.00	μB per formula unit
ΔH_f (0 K)	-0.05	eV/atom
DFT total energy	-142.17	eV/cell

Unit cell a=11.3249 b=7.0194 c=14.6780 alpha=90.00 beta=106.95 gamma=90.00
Closest atoms and distances in Å follow each position.
Space group C2/c (No. 15)
One atom of each set of equivalent atoms:
Ho (0.0262, 0.2172, 0.0628) x8  2 Ag 2.92-2.95, 1 Cd 3.18
Ho (0.1683, 0.0492, 0.8165) x8  2 Ag 2.94-3.14, 1 Cd 3.14
Ho (0.2353, 0.4028, 0.3967) x8  2 Ag 2.85-2.97
Cd (0.0550, 0.3460, 0.6543) x8  1 Ag 2.95, 3 Ho 3.14-3.21
Ag (0.0000, 0.3101, 0.2500) x4  6 Ho 2.92-3.14, 2 Cd 2.95
Ag (0.2500, 0.2500, 0.0000) x4  6 Ho 2.85-2.95

***

This record from Alexandria describes an optimized crystal structure of KLa2Hg. The functional is PBE.

Output
calculated volume	41.613	Å³ per atom
magnetic moment	0.95	μB per formula unit
ΔH_f (0 K)	-0.05	eV/atom
DFT total energy	-11.44	eV/cell

Unit cell a=3.9581 b=3.9581 c=10.6246 alpha=90.00 beta=90.00 gamma=90.00
Closest atoms and distances in Å follow each position.
Space group P4/mmm (No. 123)
One atom of each set of equivalent atoms:
K (0.0000, 0.0000, 0.0000) x1  4 K 3.96
La (0.5000, 0.5000, 0.3353) x2  4 Hg 3.30, 1 La 3.50
Hg (0.0000, 0.0000, 0.5000) x1  8 La 3.30

***

This record from Alexandria describes an optimized crystal structure of Na2GePt2. The functional is PBE.

Output
calculated volume	20.117	Å³ per atom
magnetic moment	0.00	μB per formula unit
ΔH_f (0 K)	-0.36	eV/atom
DFT total energy	-42.29	eV/cell

Unit cell a=6.3835 b=6.3835 c=4.9368 alpha=90.00 beta=90.00 gamma=90.00
Closest atoms and distances in Å follow each position.
Space group P4/mbm (No. 127)
One atom of each set of equivalent atoms:
Na (0.1675, 0.3325, 0.0000) x4  6 Pt 2.98-3.18, 1 Na 3.02
Ge (0.0000, 0.0000, 0.5000) x2  4 Pt 2.44
Pt (0.1469, 0.6469, 0.5000) x4  2 Ge 2.44, 1 Pt 2.65

***

This record from Alexandria describes an optimized crystal structure of CsScAs2O8. The functional is PBE.

Output
calculated volume	19.884	Å³ per atom
magnetic moment	2.04	μB per formula unit
DFT total energy	-75.01	eV/cell

Unit cell a=5.6457 b=5.6457 c=8.6437 alpha=90.00 beta=90.00 gamma=120.00
Closest atoms and distances in Å follow each position.
Space group P-3 (No. 147)
One atom of each set of equivalent atoms:
Cs (0.0000, 0.0000, 0.0000) x1  12 O 3.37-3.52
Sc (0.0000, 0.0000, 0.5000) x1  6 O 2.09
As (0.3333, 0.6667, 0.7032) x2  4 O 1.71-1.72
O (0.1166, 0.3392, 0.6430) x6  1 As 1.71
O (0.3333, 0.6667, 0.9019) x2  1 As 1.72

***

This record from Alexandria describes an optimized crystal structure of CsRb2I. The functional is PBE.

Output
calculated volume	73.253	Å³ per atom
magnetic moment	0.00	μB per formula unit
DFT total energy	-24.23	eV/cell

Unit cell a=10.5435 b=10.5435 c=10.5435 alpha=90.00 beta=90.00 gamma=90.00
Closest atoms and distances in Å follow each position.
Space group Fm-3m (No. 225)
One atom of each set of equivalent atoms:
Cs (0.0000, 0.0000, 0.0000) x4  8 Rb 4.57
Rb (0.2500, 0.2500, 0.2500) x8  4 I 4.57, 4 Cs 4.57
I (0.0000, 0.0000, 0.5000) x4  8 Rb 4.57

***

This record from Alexandria describes an optimized crystal structure of In2Hg6Pb3. The functional is PBE.

Output
calculated volume	27.705	Å³ per atom
magnetic moment	0.00	μB per formula unit
ΔH_f (0 K)	0.02	eV/atom
DFT total energy	-54.44	eV/cell

Unit cell a=3.4530 b=3.4530 c=88.5434 alpha=90.00 beta=90.00 gamma=120.00
Closest atoms and distances in Å follow each position.
Space group R-3m (No. 166, hexagonal axes)
One atom of each set of equivalent atoms:
In (0.0000, 0.0000, 0.0434) x6  6 Hg 3.26-3.27, 6 In 3.45
Hg (0.0000, 0.0000, 0.1355) x6  6 Pb 3.41, 6 Hg 3.45
Hg (0.0000, 0.0000, 0.3191) x6  9 Hg 3.21-3.45, 3 In 3.26
Hg (0.0000, 0.0000, 0.4060) x6  3 In 3.27, 3 Pb 3.43, 6 Hg 3.45
Pb (0.0000, 0.0000, 0.2291) x6  6 Hg 3.41-3.43, 6 Pb 3.45
Pb (0.0000, 0.0000, 0.5000) x3  6 Hg 3.41, 6 Pb 3.45